i) Crystalline MgTaTe at its relaxed geometry. Source: Alexandria, functional PBE.

Cell: 4.6988 4.6988 4.6988 Å, 60.00 60.00 60.00°
Fractional positions:
Mg 0.0000 0.0000 0.0000
Ta 0.7500 0.7500 0.7500
Te 0.5000 0.5000 0.5000

Values from the calculation:
Magnetization (Bohr magnetons per cell): 0.9

***

ii) Crystalline MgTaTe at its relaxed geometry. Source: Alexandria, functional PBE.

Cell: 4.9930 4.9930 2.9439 Å, 90.00 90.00 120.00°
Fractional positions:
Mg 0.0000 0.0000 0.0000
Ta 0.6667 0.3333 0.5000
Te 0.3333 0.6667 0.5000

Values from the calculation:
Magnetization (Bohr magnetons per cell): 0.0

***

Which of them is most stable, and which least? Most stable: ii); least stable: i).

***

i) Crystalline MgTa3Ti at its relaxed geometry. Source: Alexandria, functional PBE.

Cell: 4.7478 4.7478 4.7478 Å, 90.00 90.00 90.00°
Fractional positions:
Mg 0.0000 0.0000 0.0000
Ta 0.0000 0.5000 0.5000
Ta 0.5000 0.0000 0.5000
Ta 0.5000 0.5000 0.0000
Ti 0.5000 0.5000 0.5000

Values from the calculation:
Magnetization (Bohr magnetons per cell): 0.0

***

ii) Crystalline MgTa3Ti at its relaxed geometry. Source: Alexandria, functional PBE.

Cell: 4.7249 4.7249 4.7249 Å, 90.00 90.00 90.00°
Fractional positions:
Mg 0.0000 0.0000 0.0000
Ta 0.0000 0.0000 0.5000
Ta 0.0000 0.5000 0.0000
Ta 0.5000 0.0000 0.0000
Ti 0.5000 0.5000 0.5000

Values from the calculation:
Magnetization (Bohr magnetons per cell): 0.6

***

Which of them is most stable, and which least? Most stable: i); least stable: ii).

***

i) Crystalline MgTa2Ti2 at its relaxed geometry. Source: Alexandria, functional PBE.

Cell: 7.3028 7.3028 3.4654 Å, 90.00 90.00 90.00°
Fractional positions:
Mg 0.0000 0.0000 0.0000
Mg 0.5000 0.5000 0.0000
Ta 0.1624 0.3376 0.5000
Ta 0.3376 0.8376 0.5000
Ta 0.6624 0.1624 0.5000
Ta 0.8376 0.6624 0.5000
Ti 0.1316 0.6316 0.0000
Ti 0.3684 0.1316 0.0000
Ti 0.6316 0.8684 0.0000
Ti 0.8684 0.3684 0.0000

Values from the calculation:
Magnetization (Bohr magnetons per cell): 0.0

***

ii) Crystalline MgTa2Ti2 at its relaxed geometry. Source: Alexandria, functional PBE.

Cell: 7.4459 7.4459 3.4313 Å, 90.00 90.00 90.00°
Fractional positions:
Mg 0.0000 0.0000 0.0000
Mg 0.5000 0.5000 0.0000
Ta 0.1289 0.3711 0.0000
Ta 0.3711 0.8711 0.0000
Ta 0.6289 0.1289 0.0000
Ta 0.8711 0.6289 0.0000
Ti 0.1648 0.6648 0.5000
Ti 0.3352 0.1648 0.5000
Ti 0.6648 0.8352 0.5000
Ti 0.8352 0.3352 0.5000

Values from the calculation:
Magnetization (Bohr magnetons per cell): 0.0

***

Which of them is most stable, and which least? Most stable: i); least stable: ii).